Density functional theory data (PBE-GGA) for crystalline TbPrZn at its relaxed geometry.

As for the space group: F-43m (216). The formation energy comes out at 0.08 eV/f.u. The magnetic moment comes out at 0.03 μB/f.u. The calculation puts the volume at 30.3 Å³/atom.

Unit cell a=5.047 b=5.047 c=5.047 alpha=60.00 beta=60.00 gamma=60.00
Atoms (fractional coordinates):
Zn 0.250 0.250 0.250
Tb 0.000 0.000 0.000
Pr 0.500 0.500 0.500